No. 1
ThBiPd14: optimized geometry, PBE-GGA.

Symmetry: P4/mmm (123)
Formation energy from the elements in meV/atom: -304
Calculated total energy in Ha/atom: -0.2041

abc: 5.844 5.844 7.867
angles: 90.00 90.00 90.00
Sites, in units of the cell vectors:
Th: 0.000 0.000 0.000
Bi: 0.500 0.500 0.000
Pd: 0.000 0.000 0.500
Pd: 0.000 0.500 0.000
Pd: 0.000 0.500 0.500
Pd: 0.250 0.250 0.259
Pd: 0.250 0.250 0.741
Pd: 0.250 0.750 0.259
Pd: 0.250 0.750 0.741
Pd: 0.500 0.000 0.000
Pd: 0.500 0.000 0.500
Pd: 0.500 0.500 0.500
Pd: 0.750 0.250 0.259
Pd: 0.750 0.250 0.741
Pd: 0.750 0.750 0.259
Pd: 0.750 0.750 0.741


No. 2
VSnPt2: optimized geometry, PBE-GGA.

Symmetry: I-42d (122)
Formation energy from the elements in meV/atom: -9
Calculated total energy in Ha/atom: -0.2319

abc: 9.490 9.490 9.490
angles: 155.75 155.75 34.56
Sites, in units of the cell vectors:
V: 0.000 0.000 0.000
V: 0.750 0.250 0.500
Sn: 0.250 0.750 0.500
Sn: 0.500 0.500 0.000
Pt: 0.113 0.625 0.988
Pt: 0.375 0.363 0.488
Pt: 0.637 0.125 0.012
Pt: 0.875 0.887 0.512


No. 3
Tb4PdI5: optimized geometry, PBE-GGA.

Uncorrected formation energy in eV per atom: -1.11
Symmetry: C2/m (12)
Calculated total energy in Ha/atom: -0.1565

abc: 9.980 9.980 8.972
angles: 102.22 102.22 24.02
Sites, in units of the cell vectors:
Tb: 0.001 0.001 0.206
Tb: 0.355 0.355 0.925
Tb: 0.645 0.645 0.075
Tb: 0.999 0.999 0.794
Pd: 0.500 0.500 0.000
I: 0.168 0.168 0.344
I: 0.178 0.178 0.830
I: 0.500 0.500 0.500
I: 0.822 0.822 0.170
I: 0.832 0.832 0.656


No. 4
Er6Au5: optimized geometry, PBE-GGA.

Symmetry: Immm (71)
Formation energy from the elements in meV/atom: -771
Calculated total energy in Ha/atom: -0.1745

abc: 8.714 8.714 8.714
angles: 146.66 131.90 59.79
Sites, in units of the cell vectors:
Er: 0.085 0.335 0.750
Er: 0.249 0.000 0.249
Er: 0.415 0.665 0.750
Er: 0.585 0.335 0.250
Er: 0.751 0.000 0.751
Er: 0.915 0.665 0.250
Au: 0.000 0.500 0.500
Au: 0.171 0.171 0.000
Au: 0.342 0.842 0.500
Au: 0.658 0.158 0.500
Au: 0.829 0.829 0.000


No. 5
Ac2OF4: optimized geometry, PBE-GGA.

Uncorrected formation energy in eV per atom: -3.91
Symmetry: R-3m (166)
Calculated total energy in Ha/atom: -0.2522

abc: 8.469 8.469 8.469
angles: 30.38 30.38 30.38
Sites, in units of the cell vectors:
Ac: 0.091 0.091 0.091
Ac: 0.909 0.909 0.909
O: 0.000 0.000 0.000
F: 0.205 0.205 0.205
F: 0.421 0.421 0.421
F: 0.579 0.579 0.579
F: 0.795 0.795 0.795


No. 6
Ac8P3Se4Cl: optimized geometry, PBE-GGA.

Uncorrected formation energy in eV per atom: -1.73
Symmetry: R-3m (166)
Calculated total energy in Ha/atom: -0.2124

abc: 8.915 8.915 8.915
angles: 59.61 59.61 59.61
Sites, in units of the cell vectors:
Ac: 0.233 0.753 0.753
Ac: 0.244 0.244 0.244
Ac: 0.247 0.247 0.767
Ac: 0.247 0.767 0.247
Ac: 0.753 0.233 0.753
Ac: 0.753 0.753 0.233
Ac: 0.756 0.756 0.756
Ac: 0.767 0.247 0.247
P: 0.000 0.000 0.500
P: 0.000 0.500 0.000
P: 0.500 0.000 0.000
Se: 0.000 0.000 0.000
Se: 0.000 0.500 0.500
Se: 0.500 0.000 0.500
Se: 0.500 0.500 0.000
Cl: 0.500 0.500 0.500


No. 7
Rb2SrO6: optimized geometry, PBE-GGA.

Uncorrected formation energy in eV per atom: -0.81
Symmetry: P-31m (162)
Calculated total energy in Ha/atom: -0.1662

abc: 5.771 5.771 5.700
angles: 90.00 90.00 120.00
Sites, in units of the cell vectors:
Rb: 0.333 0.667 0.000
Rb: 0.667 0.333 0.000
Sr: 0.000 0.000 0.500
O: 0.000 0.480 0.381
O: 0.000 0.520 0.619
O: 0.480 0.000 0.381
O: 0.480 0.480 0.619
O: 0.520 0.000 0.619
O: 0.520 0.520 0.381


No. 8
Mo3PtRh6: optimized geometry, PBE-GGA.

Symmetry: P2_1/m (11)
Formation energy from the elements in meV/atom: -227
Calculated total energy in Ha/atom: -0.3121

abc: 7.340 4.403 9.566
angles: 90.00 108.47 90.00
Sites, in units of the cell vectors:
Mo: 0.100 0.250 0.232
Mo: 0.295 0.250 0.031
Mo: 0.307 0.750 0.369
Mo: 0.693 0.250 0.631
Mo: 0.705 0.750 0.969
Mo: 0.900 0.750 0.768
Pt: 0.102 0.750 0.566
Pt: 0.898 0.250 0.434
Rh: 0.101 0.750 0.068
Rh: 0.104 0.250 0.738
Rh: 0.301 0.750 0.868
Rh: 0.307 0.250 0.537
Rh: 0.495 0.250 0.329
Rh: 0.495 0.750 0.163
Rh: 0.505 0.250 0.837
Rh: 0.505 0.750 0.671
Rh: 0.693 0.750 0.463
Rh: 0.699 0.250 0.132
Rh: 0.896 0.750 0.262
Rh: 0.899 0.250 0.932